# PuScV4 | Alexandria via LeMat-Bulk | PBE | optimized geometry
data_PuScV4
_chemical_formula_sum 'Pu4 Sc4 V16'
_cell_length_a 7.372
_cell_length_b 7.372
_cell_length_c 7.372
_cell_angle_alpha 90.00
_cell_angle_beta 90.00
_cell_angle_gamma 90.00
_space_group_name_H-M_alt 'F -4 3 m'
_space_group_IT_number 216
_space_group_name_Hall 'F -4 2 3'
loop_
_atom_site_label
_atom_site_fract_x
_atom_site_fract_y
_atom_site_fract_z
_atom_site_occupancy
Pu1 0.000 0.000 0.000 1
Sc1 0.250 0.250 0.750 1
V1 0.126 0.126 0.374 1
# size of the total moment	4.0	μB/f.u.
# final energy	-222.32	eV/cell
# ΔH_f (0 K)	0.260	eV per atom